VSO5 | PBE+U | optimized geometry

Results
Energy above the most stable polymorph in this dataset in meV per atom: 29
Total magnetization in μB/f.u.: 1.000
DFT total energy in eV per atom: -6.758

a = 6.3777 Å, b = 6.3777 Å, c = 4.1647 Å
α = 90.00°, β = 90.00°, γ = 90.00°
Last column: nearest neighbours and their distance in Å.
Element x y z (fractional)
V (0.2500, 0.2500, 0.1174)  1 O 1.64
V (0.7500, 0.7500, 0.8826)  1 O 1.64
S (0.2500, 0.7500, 0.0000)  4 O 1.49
S (0.7500, 0.2500, 0.0000)  4 O 1.49
O (0.0628, 0.7336, 0.7892)  1 S 1.49
O (0.2336, 0.9372, 0.2108)  1 S 1.49
O (0.2500, 0.2500, 0.7248)  1 V 1.64
O (0.2664, 0.5628, 0.2108)  1 S 1.49
O (0.4372, 0.7664, 0.7892)  1 S 1.49
O (0.5628, 0.2336, 0.2108)  1 S 1.49
O (0.7336, 0.4372, 0.7892)  1 S 1.49
O (0.7500, 0.7500, 0.2752)  1 V 1.64
O (0.7664, 0.0628, 0.7892)  1 S 1.49
O (0.9372, 0.2664, 0.2108)  1 S 1.49